DFT (PBE-GGA) results for a geometry-optimized Cs2Br7N structure.

## Properties
Total energy   -2.435 eV per atom
Formation energy without anion corrections   -2.6 eV per formula unit

Geometry as CIF:
```
data_Cs2Br7N
_cell_length_a 7.780
_cell_length_b 7.780
_cell_length_c 10.390
_cell_angle_alpha 90.00
_cell_angle_beta 90.00
_cell_angle_gamma 90.00
_symmetry_space_group_name_H-M 'I 4/m m m'
_symmetry_Int_Tables_number 139
_symmetry_space_group_name_Hall '-I 4 2'
loop_
_atom_site_label
_atom_site_type_symbol
_atom_site_fract_x
_atom_site_fract_y
_atom_site_fract_z
Cs1 Cs 0.000 0.500 0.250
Br1 Br 0.000 0.000 0.000
Br2 Br 0.000 0.000 0.265
Br3 Br 0.221 0.221 0.500
N1 N 0.000 0.000 0.500
```


DFT (PBE-GGA) results for a geometry-optimized Cs2BrN2 structure.

## Properties
Polymorph energy (0 for the lowest one)   57 meV per atom
Total energy   -4.743 eV per atom
Formation energy without anion corrections   -3.7 eV per formula unit

Geometry as CIF:
```
data_Cs2BrN2
_cell_length_a 8.731
_cell_length_b 8.731
_cell_length_c 4.169
_cell_angle_alpha 90.00
_cell_angle_beta 90.00
_cell_angle_gamma 90.00
_symmetry_space_group_name_H-M 'P 4/m b m'
_symmetry_Int_Tables_number 127
_symmetry_space_group_name_Hall '-P 4 2ab'
loop_
_atom_site_label
_atom_site_type_symbol
_atom_site_fract_x
_atom_site_fract_y
_atom_site_fract_z
Cs1 Cs 0.224 0.276 0.000
Br1 Br 0.000 0.000 0.500
N1 N 0.048 0.548 0.500
```


DFT (PBE-GGA) results for a geometry-optimized Cs3Br2N2 structure.

## Properties
Total energy   -3.168 eV per atom
Formation energy without anion corrections   0.4 eV per formula unit

Geometry as CIF:
```
data_Cs3Br2N2
_cell_length_a 17.490
_cell_length_b 5.144
_cell_length_c 7.293
_cell_angle_alpha 90.00
_cell_angle_beta 110.29
_cell_angle_gamma 90.00
_symmetry_space_group_name_H-M 'C 1 2/m 1'
_symmetry_Int_Tables_number 12
_symmetry_space_group_name_Hall '-C 2y'
loop_
_atom_site_label
_atom_site_type_symbol
_atom_site_fract_x
_atom_site_fract_y
_atom_site_fract_z
Cs1 Cs 0.000 0.000 0.000
Cs2 Cs 0.179 0.500 0.697
Br1 Br 0.159 0.500 0.182
N1 N 0.065 0.000 0.638
```


- formation energy without anion corrections of number 3 (Cs3Br2N2)?
  0.4 eV per formula unit


- The lowest total energy belongs to which entry?
  Cs2BrN2


- Which value of total energy does entry 1 give?
  -2.435 eV per atom